This record from the Alexandria database describes a geometry-optimized ZrTeAs structure. The functional is PBE.

**E_form (uncorrected)**: -577 meV per atom
**Magnetic moment**: 0.000 μB/cell
**N(E_F)**: 1.9 states/eV per cell

Unit cell a=3.7448 b=3.7448 c=6.3512 alpha=90.00 beta=90.00 gamma=120.00
With the nearest neighbours (Å) after each atom.
Space group P3m1 (No. 156)
One atom of each set of equivalent atoms:
Zr (0.0000, 0.0000, 0.0000)  3 As 2.71, 3 Te 2.94
Te (0.6667, 0.3333, 0.6864)  3 Zr 2.94
As (0.3333, 0.6667, 0.2563)  3 Zr 2.71

=====

This record from the Alexandria database describes a geometry-optimized Th4Bi2SbPb structure. The functional is PBE.

**E_form (uncorrected)**: -581 meV per atom
**Magnetic moment**: 0.000 μB/cell
**N(E_F)**: 5.3 states/eV per cell

Unit cell a=7.9109 b=4.5646 c=7.9384 alpha=90.00 beta=109.39 gamma=90.00
With the nearest neighbours (Å) after each atom.
Space group P2/m (No. 10)
One atom of each set of equivalent atoms:
Th (0.2439, 0.0000, 0.2399)  2 Sb 3.18, 1 Pb 3.21, 3 Bi 3.26-3.29
Th (0.2500, 0.5000, 0.7581)  1 Sb 3.18, 2 Pb 3.21, 3 Bi 3.26-3.29
Bi (0.0000, 0.0000, 0.5000)  6 Th 3.26
Bi (0.5000, 0.5000, 0.5000)  6 Th 3.29
Sb (0.0000, 0.5000, 0.0000)  6 Th 3.18
Pb (0.5000, 0.0000, 0.0000)  6 Th 3.21

=====

This record from the Alexandria database describes a geometry-optimized Sr3MgCo structure. The functional is PBE.

**Magnetic moment**: 0.000 μB/cell
**N(E_F)**: 3.6 states/eV per cell
**ΔE_f**: 239 meV per atom
**Energy above the most stable polymorph in this dataset**: 0 meV/atom

Unit cell a=5.7391 b=5.7391 c=5.7391 alpha=90.00 beta=90.00 gamma=90.00
With the nearest neighbours (Å) after each atom.
Space group Pm-3m (No. 221)
One atom of each set of equivalent atoms:
Sr (0.0000, 0.0000, 0.5000)  2 Co 2.87
Mg (0.5000, 0.5000, 0.5000)  12 Sr 4.06
Co (0.0000, 0.0000, 0.0000)  6 Sr 2.87

=====

This record from the Alexandria database describes a geometry-optimized La6OsRh structure. The functional is PBE.

**Magnetic moment**: 0.000 μB/cell
**N(E_F)**: 19.5 states/eV per cell
**ΔE_f**: -259 meV per atom

Unit cell a=6.9621 b=6.9621 c=13.4653 alpha=90.00 beta=90.00 gamma=120.00
With the nearest neighbours (Å) after each atom.
Space group P-31c (No. 163)
One atom of each set of equivalent atoms:
La (0.0016, 0.3373, 0.1258)  1 Os 2.84, 1 Rh 2.89
Os (0.3333, 0.6667, 0.2500)  6 La 2.84
Rh (0.0000, 0.0000, 0.0000)  6 La 2.89

=====

This record from the Alexandria database describes a geometry-optimized ScCrB3 structure. The functional is PBE.

**Magnetic moment**: 0.000 μB/cell
**N(E_F)**: 2.4 states/eV per cell
**ΔE_f**: 189 meV per atom
**Energy above the most stable polymorph in this dataset**: 808 meV/atom

Unit cell a=3.8395 b=3.8395 c=3.8395 alpha=90.00 beta=90.00 gamma=90.00
With the nearest neighbours (Å) after each atom.
Space group Pm-3m (No. 221)
One atom of each set of equivalent atoms:
Sc (0.0000, 0.0000, 0.0000)  12 B 2.71
Cr (0.5000, 0.5000, 0.5000)  6 B 1.92
B (0.0000, 0.5000, 0.5000)  2 Cr 1.92

=====

This record from the Alexandria database describes a geometry-optimized Be6Fe2Si structure. The functional is PBE.

**E_form (uncorrected)**: 60 meV per atom
**Magnetic moment**: 0.001 μB/cell
**N(E_F)**: 6.4 states/eV per cell

Unit cell a=10.3614 b=4.1887 c=4.0457 alpha=90.00 beta=112.88 gamma=90.00
With the nearest neighbours (Å) after each atom.
Space group C2/m (No. 12)
One atom of each set of equivalent atoms:
Be (0.1065, 0.2498, 0.0460)  5 Be 1.96-2.10
Be (0.2208, 0.0000, 0.8044)  4 Be 1.96-2.09, 1 Si 2.14
Fe (0.1571, 0.5000, 0.5682)  8 Be 2.23-2.43
Si (0.0000, 0.0000, 0.5000)  6 Be 2.14-2.30